Record 1
Below is a geometry-optimized TbPm4Er7 structure, with properties calculated at the PBE level.

Cell lengths 5.868, 11.617, 6.712 Å; angles 83.57, 64.08, 75.37 degrees
Fractional coordinates of all 12 atoms:
Tb  0.000  0.000  0.000
Pm  0.639  0.223  0.498
Pm  0.361  0.777  0.502
Pm  0.776  0.667  0.780
Pm  0.224  0.333  0.220
Er  0.788  0.924  0.500
Er  0.212  0.076  0.500
Er  0.069  0.688  0.175
Er  0.931  0.312  0.825
Er  0.368  0.495  0.769
Er  0.500  0.000  0.000
Er  0.632  0.505  0.231

Results
SG = C2/m (12)

Record 2
Below is a geometry-optimized Tb4PmEr5 structure, with properties calculated at the PBE level.

Cell lengths 3.545, 6.750, 14.320 Å; angles 95.64, 101.46, 106.54 degrees
Fractional coordinates of all 10 atoms:
Tb  0.406  0.810  0.217
Tb  0.845  0.726  0.805
Tb  0.594  0.190  0.783
Tb  0.155  0.274  0.195
Pm  0.500  0.000  0.000
Er  0.949  0.574  0.387
Er  0.240  0.120  0.417
Er  0.760  0.880  0.583
Er  0.500  0.500  0.000
Er  0.051  0.426  0.613

Results
SG = P-1 (2)

Record 3
Below is a geometry-optimized Tb3PmEr12 structure, with properties calculated at the PBE level.

Cell lengths 4.983, 4.983, 19.938 Å; angles 90.00, 90.00, 90.00 degrees
Fractional coordinates of all 16 atoms:
Tb  0.000  0.000  0.251
Tb  0.000  0.000  0.500
Tb  0.000  0.000  0.749
Pm  0.000  0.000  0.000
Er  0.500  0.500  0.000
Er  0.500  0.500  0.251
Er  0.500  0.500  0.500
Er  0.500  0.500  0.749
Er  0.500  0.000  0.126
Er  0.500  0.000  0.375
Er  0.500  0.000  0.625
Er  0.500  0.000  0.874
Er  0.000  0.500  0.126
Er  0.000  0.500  0.375
Er  0.000  0.500  0.625
Er  0.000  0.500  0.874

Results
SG = P4/mmm (123)

Number 1: energy of formation 0.274 eV/atom. Number 2: energy of formation 0.060 eV/atom. Number 3: energy of formation 0.021 eV/atom.